No. 1
# TbNdSmTm, relaxed, DFT PBE
# - calculated volume (Å³ per atom) = 33.016
# - excess energy over the best structure of this formula in the dataset (meV/atom) = 5
# - total magnetization (μB/f.u.) = 0.00
# - energy of formation from the pure elements (eV per atom) = 0.119
# - crystal system = cubic
data_TbNdSmTm
_chemical_formula_sum 'Tb4 Nd4 Sm4 Tm4'
_symmetry_space_group_name_H-M 'F -4 3 m'
_symmetry_Int_Tables_number 216
_symmetry_space_group_name_Hall 'F -4 2 3'
_cell_length_a 8.0838
_cell_length_b 8.0838
_cell_length_c 8.0838
_cell_angle_alpha 90.00
_cell_angle_beta 90.00
_cell_angle_gamma 90.00
loop_
_atom_site_label
_atom_site_type_symbol
_atom_site_fract_x
_atom_site_fract_y
_atom_site_fract_z
Tb1 Tb 0.0000 0.0000 0.0000
Nd1 Nd 0.2500 0.2500 0.7500
Sm1 Sm 0.2500 0.2500 0.2500
Tm1 Tm 0.0000 0.0000 0.5000

No. 2
# Tc5B2, relaxed, DFT PBE
# - calculated volume (Å³ per atom) = 12.143
# - total magnetization (μB/f.u.) = 0.00
# - energy of formation from the pure elements (eV per atom) = -0.250
# - crystal system = monoclinic
data_Tc5B2
_chemical_formula_sum 'Tc20 B8'
_symmetry_space_group_name_H-M 'C 1 2/c 1'
_symmetry_Int_Tables_number 15
_cell_length_a 12.8450
_cell_length_b 4.8800
_cell_length_c 5.4636
_cell_angle_alpha 90.00
_cell_angle_beta 96.90
_cell_angle_gamma 90.00
loop_
_symmetry_equiv_pos_as_xyz
'x,y,z'
'-x,-y,-z'
'-x,y,-z+1/2'
'x,-y,z+1/2'
'x+1/2,y+1/2,z'
'-x+1/2,-y+1/2,-z'
'-x+1/2,y+1/2,-z+1/2'
'x+1/2,-y+1/2,z+1/2'
loop_
_atom_site_label
_atom_site_type_symbol
_atom_site_fract_x
_atom_site_fract_y
_atom_site_fract_z
Tc1 Tc 0.0000 0.0953 0.2500
Tc2 Tc 0.0969 0.4097 0.9282
Tc3 Tc 0.2183 0.0944 0.3061
B1 B 0.1118 0.1762 0.5832

No. 3
# PaGaAsO6, relaxed, DFT PBE
# - calculated volume (Å³ per atom) = 12.457
# - total magnetization (μB/f.u.) = 0.00
# - crystal system = tetragonal
# - formation energy from raw total energies (kJ/mol of atoms) = -202.3
data_PaGaAsO6
_chemical_formula_sum 'Pa2 Ga2 As2 O12'
_symmetry_space_group_name_H-M 'P 42 n m'
_symmetry_Int_Tables_number 102
_cell_length_a 4.8305
_cell_length_b 4.8305
_cell_length_c 9.6096
_cell_angle_alpha 90.00
_cell_angle_beta 90.00
_cell_angle_gamma 90.00
loop_
_symmetry_equiv_pos_as_xyz
'x,y,z'
'-y+1/2,x+1/2,z+1/2'
'-x,-y,z'
'y+1/2,-x+1/2,z+1/2'
'-x+1/2,y+1/2,z+1/2'
'y,x,z'
'x+1/2,-y+1/2,z+1/2'
'-y,-x,z'
loop_
_atom_site_label
_atom_site_type_symbol
_atom_site_fract_x
_atom_site_fract_y
_atom_site_fract_z
Pa1 Pa 0.0000 0.0000 0.0000
Ga1 Ga 0.0000 0.0000 0.6674
As1 As 0.0000 0.0000 0.3341
O1 O 0.1805 0.1805 0.5016
O2 O 0.1985 0.1985 0.1792
O3 O 0.2040 0.2040 0.8244

No. 4
# KHoMnCl6, relaxed, DFT PBE
# - calculated volume (Å³ per atom) = 28.663
# - total magnetization (μB/f.u.) = 0.94
# - crystal system = trigonal
# - formation energy from raw total energies (kJ/mol of atoms) = -152.4
data_KHoMnCl6
_chemical_formula_sum 'K2 Ho2 Mn2 Cl12'
_symmetry_space_group_name_H-M 'P -3 1 c'
_symmetry_Int_Tables_number 163
_symmetry_space_group_name_Hall '-P 3 2c'
_cell_length_a 6.4580
_cell_length_b 6.4580
_cell_length_c 14.2842
_cell_angle_alpha 90.00
_cell_angle_beta 90.00
_cell_angle_gamma 120.00
loop_
_atom_site_label
_atom_site_type_symbol
_atom_site_fract_x
_atom_site_fract_y
_atom_site_fract_z
K1 K 0.0000 0.0000 0.0000
Ho1 Ho 0.3333 0.6667 0.2500
Mn1 Mn 0.3333 0.6667 0.7500
Cl1 Cl 0.0305 0.3796 0.6498

No. 5
# Nd2EuLu, relaxed, DFT PBE
# - calculated volume (Å³ per atom) = 34.826
# - excess energy over the best structure of this formula in the dataset (meV/atom) = 0
# - total magnetization (μB/f.u.) = 7.09
# - energy of formation from the pure elements (eV per atom) = 0.039
# - crystal system = tetragonal
data_Nd2EuLu
_chemical_formula_sum 'Nd2 Eu1 Lu1'
_symmetry_space_group_name_H-M 'P 4/m m m'
_symmetry_Int_Tables_number 123
_symmetry_space_group_name_Hall '-P 4 2'
_cell_length_a 3.6678
_cell_length_b 3.6678
_cell_length_c 10.3550
_cell_angle_alpha 90.00
_cell_angle_beta 90.00
_cell_angle_gamma 90.00
loop_
_atom_site_label
_atom_site_type_symbol
_atom_site_fract_x
_atom_site_fract_y
_atom_site_fract_z
Nd1 Nd 0.0000 0.0000 0.2329
Eu1 Eu 0.5000 0.5000 0.5000
Lu1 Lu 0.5000 0.5000 0.0000

No. 6
# TbHoTl, relaxed, DFT PBE
# - calculated volume (Å³ per atom) = 28.391
# - excess energy over the best structure of this formula in the dataset (meV/atom) = 0
# - total magnetization (μB/f.u.) = 0.29
# - energy of formation from the pure elements (eV per atom) = -0.258
# - crystal system = hexagonal
data_TbHoTl
_chemical_formula_sum 'Tb2 Ho2 Tl2'
_symmetry_space_group_name_H-M 'P 63/m m c'
_symmetry_Int_Tables_number 194
_symmetry_space_group_name_Hall '-P 6c 2c'
_cell_length_a 5.4085
_cell_length_b 5.4085
_cell_length_c 6.7225
_cell_angle_alpha 90.00
_cell_angle_beta 90.00
_cell_angle_gamma 120.00
loop_
_atom_site_label
_atom_site_type_symbol
_atom_site_fract_x
_atom_site_fract_y
_atom_site_fract_z
Tb1 Tb 0.0000 0.0000 0.0000
Ho1 Ho 0.3333 0.6667 0.2500
Tl1 Tl 0.3333 0.6667 0.7500

No. 7
# LiTlRe2, relaxed, DFT PBE
# - calculated volume (Å³ per atom) = 16.323
# - excess energy over the best structure of this formula in the dataset (meV/atom) = 399
# - total magnetization (μB/f.u.) = 0.00
# - energy of formation from the pure elements (eV per atom) = 0.669
# - crystal system = tetragonal
data_LiTlRe2
_chemical_formula_sum 'Li1 Tl1 Re2'
_symmetry_space_group_name_H-M 'P 4/m m m'
_symmetry_Int_Tables_number 123
_symmetry_space_group_name_Hall '-P 4 2'
_cell_length_a 3.7303
_cell_length_b 3.7303
_cell_length_c 4.6920
_cell_angle_alpha 90.00
_cell_angle_beta 90.00
_cell_angle_gamma 90.00
loop_
_atom_site_label
_atom_site_type_symbol
_atom_site_fract_x
_atom_site_fract_y
_atom_site_fract_z
Li1 Li 0.0000 0.0000 0.0000
Tl1 Tl 0.5000 0.5000 0.0000
Re1 Re 0.0000 0.5000 0.5000

No. 8
# Pm3HfPd12, relaxed, DFT PBE
# - calculated volume (Å³ per atom) = 17.754
# - total magnetization (μB/f.u.) = 0.00
# - energy of formation from the pure elements (eV per atom) = -0.821
# - crystal system = tetragonal
data_Pm3HfPd12
_chemical_formula_sum 'Pm3 Hf1 Pd12'
_symmetry_space_group_name_H-M 'P 4/m m m'
_symmetry_Int_Tables_number 123
_symmetry_space_group_name_Hall '-P 4 2'
_cell_length_a 4.1389
_cell_length_b 4.1389
_cell_length_c 16.5827
_cell_angle_alpha 90.00
_cell_angle_beta 90.00
_cell_angle_gamma 90.00
loop_
_atom_site_label
_atom_site_type_symbol
_atom_site_fract_x
_atom_site_fract_y
_atom_site_fract_z
Pm1 Pm 0.0000 0.0000 0.0000
Pm2 Pm 0.0000 0.0000 0.2545
Hf1 Hf 0.0000 0.0000 0.5000
Pd1 Pd 0.0000 0.5000 0.1281
Pd2 Pd 0.0000 0.5000 0.3856
Pd3 Pd 0.5000 0.5000 0.0000
Pd4 Pd 0.5000 0.5000 0.2569
Pd5 Pd 0.5000 0.5000 0.5000

No. 9
# Zn2Co2Pt, relaxed, DFT PBE
# - calculated volume (Å³ per atom) = 13.047
# - excess energy over the best structure of this formula in the dataset (meV/atom) = 30
# - total magnetization (μB/f.u.) = 2.56
# - energy of formation from the pure elements (eV per atom) = 0.057
# - crystal system = tetragonal
data_Zn2Co2Pt
_chemical_formula_sum 'Zn4 Co4 Pt2'
_symmetry_space_group_name_H-M 'P 4/m b m'
_symmetry_Int_Tables_number 127
_symmetry_space_group_name_Hall '-P 4 2ab'
_cell_length_a 6.8561
_cell_length_b 6.8561
_cell_length_c 2.7756
_cell_angle_alpha 90.00
_cell_angle_beta 90.00
_cell_angle_gamma 90.00
loop_
_atom_site_label
_atom_site_type_symbol
_atom_site_fract_x
_atom_site_fract_y
_atom_site_fract_z
Zn1 Zn 0.1297 0.3703 0.0000
Co1 Co 0.1692 0.6692 0.5000
Pt1 Pt 0.0000 0.0000 0.0000

No. 10
# SiIrSe2, relaxed, DFT PBE
# - calculated volume (Å³ per atom) = 16.672
# - total magnetization (μB/f.u.) = 0.00
# - crystal system = orthorhombic
# - formation energy from raw total energies (kJ/mol of atoms) = 55.6
data_SiIrSe2
_chemical_formula_sum 'Si1 Ir1 Se2'
_symmetry_space_group_name_H-M 'P m m m'
_symmetry_Int_Tables_number 47
_cell_length_a 2.9406
_cell_length_b 4.7416
_cell_length_c 4.7829
_cell_angle_alpha 90.00
_cell_angle_beta 90.00
_cell_angle_gamma 90.00
loop_
_symmetry_equiv_pos_as_xyz
'x,y,z'
'-x,-y,-z'
'-x,-y,z'
'x,y,-z'
'x,-y,-z'
'-x,y,z'
'-x,y,-z'
'x,-y,z'
loop_
_atom_site_label
_atom_site_type_symbol
_atom_site_fract_x
_atom_site_fract_y
_atom_site_fract_z
Si1 Si 0.0000 0.0000 0.0000
Ir1 Ir 0.5000 0.0000 0.5000
Se1 Se 0.0000 0.5000 0.5000
Se2 Se 0.5000 0.5000 0.0000

No. 11
# RbCN3, relaxed, DFT PBE
# - calculated volume (Å³ per atom) = 26.303
# - total magnetization (μB/f.u.) = 6.00
# - crystal system = cubic
# - formation energy from raw total energies (kJ/mol of atoms) = 402.8
data_RbCN3
_chemical_formula_sum 'Rb1 C1 N3'
_symmetry_space_group_name_H-M 'P m -3 m'
_symmetry_Int_Tables_number 221
_symmetry_space_group_name_Hall '-P 4 2 3'
_cell_length_a 5.0854
_cell_length_b 5.0854
_cell_length_c 5.0854
_cell_angle_alpha 90.00
_cell_angle_beta 90.00
_cell_angle_gamma 90.00
loop_
_atom_site_label
_atom_site_type_symbol
_atom_site_fract_x
_atom_site_fract_y
_atom_site_fract_z
Rb1 Rb 0.0000 0.0000 0.0000
C1 C 0.5000 0.5000 0.5000
N1 N 0.0000 0.0000 0.5000

No. 12
# ReOsRu, relaxed, DFT PBE
# - calculated volume (Å³ per atom) = 14.420
# - excess energy over the best structure of this formula in the dataset (meV/atom) = 0
# - total magnetization (μB/f.u.) = 0.00
# - energy of formation from the pure elements (eV per atom) = 0.065
# - crystal system = orthorhombic
data_ReOsRu
_chemical_formula_sum 'Re2 Os2 Ru2'
_symmetry_space_group_name_H-M 'I m m 2'
_symmetry_Int_Tables_number 44
_cell_length_a 2.7299
_cell_length_b 3.8562
_cell_length_c 8.2186
_cell_angle_alpha 90.00
_cell_angle_beta 90.00
_cell_angle_gamma 90.00
loop_
_symmetry_equiv_pos_as_xyz
'x,y,z'
'-x,-y,z'
'-x,y,z'
'x,-y,z'
'x+1/2,y+1/2,z+1/2'
'-x+1/2,-y+1/2,z+1/2'
'-x+1/2,y+1/2,z+1/2'
'x+1/2,-y+1/2,z+1/2'
loop_
_atom_site_label
_atom_site_type_symbol
_atom_site_fract_x
_atom_site_fract_y
_atom_site_fract_z
Re1 Re 0.0000 0.0000 0.0000
Os1 Os 0.0000 0.0000 0.6642
Ru1 Ru 0.0000 0.0000 0.3322

No. 13
# CaCeH3, relaxed, DFT PBE
# - VASP energy (eV/atom) = -3.82
# - calculated volume (Å³ per atom) = 16.586
# - total magnetization (μB/f.u.) = 0.74
# - crystal system = cubic
data_CaCeH3
_chemical_formula_sum 'Ca1 Ce1 H3'
_symmetry_space_group_name_H-M 'P m -3 m'
_symmetry_Int_Tables_number 221
_symmetry_space_group_name_Hall '-P 4 2 3'
_cell_length_a 4.3609
_cell_length_b 4.3609
_cell_length_c 4.3609
_cell_angle_alpha 90.00
_cell_angle_beta 90.00
_cell_angle_gamma 90.00
loop_
_atom_site_label
_atom_site_type_symbol
_atom_site_fract_x
_atom_site_fract_y
_atom_site_fract_z
Ca1 Ca 0.0000 0.0000 0.0000
Ce1 Ce 0.5000 0.5000 0.5000
H1 H 0.0000 0.5000 0.5000